Record 1
First-principles (PBE) data for AcTlCuAg after structural relaxation, as listed in the Alexandria database.

a b c (Å): 7.3380 7.3380 7.3380
angles (deg): 90.00 90.00 90.00
With the nearest neighbours (Å) after each atom.
Space group F-43m (No. 216)
Unique sites:
Ac 0.0000 0.0000 0.0000 x4  4 Cu 3.18, 4 Ag 3.18
Tl 0.0000 0.0000 0.5000 x4  4 Cu 3.18, 4 Ag 3.18
Cu 0.2500 0.2500 0.7500 x4  4 Ac 3.18, 4 Tl 3.18
Ag 0.2500 0.2500 0.2500 x4  4 Ac 3.18, 4 Tl 3.18

magnetization: 0.0 μB/f.u.
energy of formation: -0.12 eV per atom

Record 2
First-principles (PBE) data for AcYCuAg after structural relaxation, as listed in the Alexandria database.

a b c (Å): 7.5013 7.5013 7.5013
angles (deg): 90.00 90.00 90.00
With the nearest neighbours (Å) after each atom.
Space group F-43m (No. 216)
Unique sites:
Ac 0.0000 0.0000 0.0000 x4  4 Cu 3.25, 4 Ag 3.25
Y 0.0000 0.0000 0.5000 x4  4 Ag 3.25, 4 Cu 3.25
Cu 0.2500 0.2500 0.7500 x4  4 Y 3.25, 4 Ac 3.25
Ag 0.2500 0.2500 0.2500 x4  4 Ac 3.25, 4 Y 3.25

magnetization: 0.0 μB/f.u.
energy of formation: -0.16 eV per atom

Record 3
First-principles (PBE) data for AcZnCuAg after structural relaxation, as listed in the Alexandria database.

a b c (Å): 7.1096 7.1096 7.1096
angles (deg): 90.00 90.00 90.00
With the nearest neighbours (Å) after each atom.
Space group F-43m (No. 216)
Unique sites:
Ac 0.0000 0.0000 0.0000 x4  4 Cu 3.08, 4 Zn 3.08
Zn 0.2500 0.2500 0.7500 x4  4 Ac 3.08, 4 Ag 3.08
Cu 0.2500 0.2500 0.2500 x4  4 Ag 3.08, 4 Ac 3.08
Ag 0.0000 0.0000 0.5000 x4  4 Zn 3.08, 4 Cu 3.08

magnetization: 0.0 μB/f.u.
energy of formation: -0.06 eV per atom

Q: Which formula does entry 3 have?
A: AcZnCuAg